(1)
A relaxed MgCoPC2 crystal, computed with PBE-GGA.

Geometry as POSCAR:
```
MgCoPC2
1.0
3.940 0.000 0.000
0.000 3.940 0.000
0.000 0.000 4.607
Mg Co P C
1 1 1 2
Direct
0.000 0.000 0.000
0.000 0.000 0.500
0.500 0.500 0.500
0.000 0.500 0.000
0.500 0.000 0.000
```

Results
The volume is 14.30 A^3/atom. Its total DFT energy (no corrections) is -19.5 eV per formula unit. The space group is P4/mmm, No. 123.

(2)
A relaxed MgCo2PbC crystal, computed with PBE-GGA.

Geometry as POSCAR:
```
MgCo2PbC
1.0
4.299 0.000 0.000
0.000 4.299 0.000
0.000 0.000 5.080
Mg Co Pb C
1 2 1 1
Direct
0.000 0.000 0.000
0.000 0.500 0.000
0.500 0.000 0.000
0.000 0.000 0.500
0.500 0.500 0.500
```

Results
The volume is 18.78 A^3/atom. Its total DFT energy (no corrections) is -16.3 eV per formula unit. The space group is P4/mmm, No. 123.

(3)
A relaxed MgCo2ReC crystal, computed with PBE-GGA.

Geometry as POSCAR:
```
MgCo2ReC
1.0
3.889 0.000 0.000
0.000 3.889 0.000
0.000 0.000 4.021
Mg Co Re C
1 2 1 1
Direct
0.000 0.000 0.000
0.000 0.500 0.500
0.500 0.000 0.500
0.500 0.500 0.000
0.500 0.500 0.500
```

Results
For the excess energy over the best structure of this formula in the dataset, the calculation gives 0 meV per atom. The volume is 12.16 A^3/atom. The space group is P4/mmm, No. 123.

(4)
A relaxed MgCo2ReC crystal, computed with PBE-GGA.

Geometry as POSCAR:
```
MgCo2ReC
1.0
3.727 0.000 0.000
0.000 3.727 0.000
0.000 0.000 4.261
Mg Co Re C
1 2 1 1
Direct
0.000 0.000 0.000
0.000 0.500 0.500
0.500 0.000 0.500
0.500 0.500 0.000
0.000 0.000 0.500
```

Results
For the excess energy over the best structure of this formula in the dataset, the calculation gives 485 meV per atom. The volume is 11.84 A^3/atom. The space group is P4/mmm, No. 123.

(5)
A relaxed MgCo2RhC crystal, computed with PBE-GGA.

Geometry as POSCAR:
```
MgCo2RhC
1.0
3.794 0.000 0.000
0.000 3.794 0.000
0.000 0.000 4.071
Mg Co Rh C
1 2 1 1
Direct
0.000 0.000 0.000
0.000 0.500 0.500
0.500 0.000 0.500
0.500 0.500 0.000
0.500 0.500 0.500
```

Results
The volume is 11.72 A^3/atom. Its total DFT energy (no corrections) is -33.0 eV per formula unit. The space group is P4/mmm, No. 123.

(6)
A relaxed MgCo2RuC crystal, computed with PBE-GGA.

Geometry as POSCAR:
```
MgCo2RuC
1.0
3.823 0.000 0.000
0.000 3.823 0.000
0.000 0.000 4.026
Mg Co Ru C
1 2 1 1
Direct
0.000 0.000 0.000
0.000 0.500 0.500
0.500 0.000 0.500
0.500 0.500 0.000
0.500 0.500 0.500
```

Results
The volume is 11.77 A^3/atom. Its total DFT energy (no corrections) is -34.4 eV per formula unit. The space group is P4/mmm, No. 123.

(7)
A relaxed MgScCo2C crystal, computed with PBE-GGA.

Geometry as POSCAR:
```
MgScCo2C
1.0
3.895 0.000 0.000
0.000 3.895 0.000
0.000 0.000 4.348
Mg Sc Co C
1 1 2 1
Direct
0.000 0.000 0.000
0.500 0.500 0.000
0.000 0.500 0.500
0.500 0.000 0.500
0.500 0.500 0.500
```

Results
The volume is 13.19 A^3/atom. Its total DFT energy (no corrections) is -31.3 eV per formula unit. The space group is P4/mmm, No. 123.

(8)
A relaxed Mg2CoCSe crystal, computed with PBE-GGA.

Geometry as POSCAR:
```
Mg2CoCSe
1.0
4.524 0.000 0.000
0.000 4.524 0.000
0.000 0.000 3.654
Mg Co C Se
2 1 1 1
Direct
0.000 0.500 0.000
0.500 0.000 0.000
0.000 0.000 0.500
0.000 0.000 0.000
0.500 0.500 0.500
```

Results
The volume is 14.96 A^3/atom. The formation energy (no corrections) comes out at -0.118 eV/atom. The space group is P4/mmm, No. 123.

(9)
A relaxed ThMg2Co2C crystal, computed with PBE-GGA.

Geometry as POSCAR:
```
ThMg2Co2C
1.0
-1.979 1.979 6.869
1.979 -1.979 6.869
1.979 1.979 -6.869
Th Mg Co C
1 2 2 1
Direct
0.000 0.000 0.000
0.250 0.750 0.500
0.750 0.250 0.500
0.375 0.375 0.000
0.625 0.625 0.000
0.500 0.500 0.000
```

Results
The volume is 17.93 A^3/atom. Its total DFT energy (no corrections) is -33.2 eV per formula unit. The space group is I4/mmm, No. 139.

(10)
A relaxed Mg2TlCoC crystal, computed with PBE-GGA.

Geometry as POSCAR:
```
Mg2TlCoC
1.0
4.593 0.000 0.000
0.000 4.593 0.000
0.000 0.000 3.720
Mg Tl Co C
2 1 1 1
Direct
0.000 0.500 0.000
0.500 0.000 0.000
0.000 0.000 0.500
0.500 0.500 0.500
0.500 0.500 0.000
```

Results
The volume is 15.70 A^3/atom. Its total DFT energy (no corrections) is -21.2 eV per formula unit. The space group is P4/mmm, No. 123.

(11)
A relaxed MgZnCo2C crystal, computed with PBE-GGA.

Geometry as POSCAR:
```
MgZnCo2C
1.0
3.752 0.000 0.000
0.000 3.752 0.000
0.000 0.000 4.206
Mg Zn Co C
1 1 2 1
Direct
0.000 0.000 0.000
0.500 0.500 0.000
0.000 0.500 0.500
0.500 0.000 0.500
0.000 0.000 0.500
```

Results
The volume is 11.84 A^3/atom. Its total DFT energy (no corrections) is -25.9 eV per formula unit. The space group is P4/mmm, No. 123.

(12)
A relaxed Mn6CoC crystal, computed with PBE-GGA.

Geometry as POSCAR:
```
Mn6CoC
1.0
3.370 1.946 2.064
-3.370 1.946 2.064
0.000 -3.891 2.064
Mn Co C
6 1 1
Direct
0.083 0.770 0.625
0.230 0.375 0.917
0.375 0.917 0.230
0.625 0.083 0.770
0.770 0.625 0.083
0.917 0.230 0.375
0.500 0.500 0.500
0.000 0.000 0.000
```

Results
The volume is 10.15 A^3/atom. Its total DFT energy (no corrections) is -71.1 eV per formula unit. The space group is R-3, No. 148.